[1]
Density functional theory data (PBE) for a relaxed AlVTc crystal.

extended XYZ file:
```
3
Lattice="3.117 -0.003 0.001 1.554 4.658 0.006 0.002 -1.041 2.938" Properties=species:S:1:pos:R:3 pbc="T T T"
Al 1.576 3.991 1.615
Tc 1.582 1.318 0.659
V 3.133 1.969 2.555
```

Output
energy relative to the elements = -39.5 kJ/mol of atoms
crystal system = monoclinic
electronic total energy = -8.15 eV/atom

---

[2]
Density functional theory data (PBE) for a relaxed AlVTc2 crystal.

extended XYZ file:
```
8
Lattice="6.772 0.000 0.000 0.000 6.772 0.000 3.386 3.386 2.702" Properties=species:S:1:pos:R:3 pbc="T T T"
Tc 5.267 1.693 0.675
Tc 1.505 5.079 0.675
Tc 8.465 8.653 2.026
Tc 5.079 4.891 2.026
V 0.000 0.000 0.000
V 6.772 3.386 1.351
Al 3.386 6.772 1.351
Al 3.386 3.386 0.000
```

Output
energy relative to the elements = 35.4 kJ/mol of atoms
crystal system = tetragonal
electronic total energy = -8.03 eV/atom

---

[3]
Density functional theory data (PBE) for a relaxed AlVTc crystal.

extended XYZ file:
```
12
Lattice="-0.403 -3.269 2.864 4.258 -5.434 -5.603 3.827 1.122 1.820" Properties=species:S:1:pos:R:3 pbc="T T T"
Al 6.773 -4.139 -3.771
Al 3.239 -4.524 -1.382
Al 4.442 -3.057 0.462
Al 1.312 -0.173 -0.012
V 5.419 -2.411 -1.989
V 3.088 -1.328 2.245
V 2.666 -1.901 -1.795
V 4.594 -6.253 -3.164
Tc 4.156 -3.803 -3.756
Tc 1.826 -2.720 0.478
Tc 3.928 -0.509 -0.028
Tc 5.856 -4.860 -1.397
```

Output
energy relative to the elements = -37.6 kJ/mol of atoms
crystal system = orthorhombic
electronic total energy = -8.13 eV/atom